Entry from Alexandria: a relaxed PmNdI2 crystal (GGA-PBE).

The volume comes out at 117.3 Å³/cell. The polymorph energy (0 for the lowest one) is 73 meV per atom. The density of states at the Fermi level is 0.5511 states/eV/atom. For the energy relative to the elements, uncorrected, the calculation gives -786 meV per atom. The calculation puts the total energy at -15.763 eV per cell.

The space group is P4/mmm (No. 123) and the conventional cell measures 3.885, 3.885 and 7.772 Å, with angles of 90.00, 90.00 and 90.00 degrees. Symmetry generates all atoms from Pm at (0.000, 0.000, 0.000), Nd at (0.000, 0.000, 0.500) and I at (0.500, 0.500, 0.248).

Entry from Alexandria: a relaxed PmNdI crystal (GGA-PBE).

The volume comes out at 203.8 Å³/cell. The polymorph energy (0 for the lowest one) is 80 meV per atom. The density of states at the Fermi level is 1.2774 states/eV/atom. For the energy relative to the elements, uncorrected, the calculation gives -472 meV per atom. The calculation puts the total energy at -24.971 eV per cell.

The space group is I4mm (No. 107) and the conventional cell measures 3.758, 3.758 and 14.434 Å, with angles of 90.00, 90.00 and 90.00 degrees. Symmetry generates all atoms from Pm at (0.000, 0.000, 0.000), Nd at (0.000, 0.000, 0.676) and I at (0.000, 0.000, 0.340).

Entry from Alexandria: a relaxed PmNdI6 crystal (GGA-PBE).

The volume comes out at 1111.8 Å³/cell. The polymorph energy (0 for the lowest one) is 21 meV per atom. The density of states at the Fermi level is 0.0000 states/eV/atom. For the energy relative to the elements, uncorrected, the calculation gives -1353 meV per atom. The calculation puts the total energy at -88.929 eV per cell.

The space group is R-3 (No. 148, hexagonal axes) and the conventional cell measures 7.7855, 7.7855 and 21.1807 Å, with angles of 90.00, 90.00 and 120.00 degrees. Symmetry generates all atoms from Pm at (0.0000, 0.0000, 0.0000), Nd at (0.0000, 0.0000, 0.5000) and I at (0.0014, 0.6640, 0.7498).

Entry from Alexandria: a relaxed Pm2NdI crystal (GGA-PBE).

The volume comes out at 412.6 Å³/cell. The polymorph energy (0 for the lowest one) is 0 meV per atom. The density of states at the Fermi level is 1.5397 states/eV/atom. For the energy relative to the elements, uncorrected, the calculation gives -372 meV per atom. The calculation puts the total energy at -51.925 eV per cell.

The space group is R3m (No. 160, hexagonal axes) and the conventional cell measures 3.8374, 3.8374 and 32.3534 Å, with angles of 90.00, 90.00 and 120.00 degrees. Symmetry generates all atoms from Pm at (0.0000, 0.0000, 0.0000), Pm at (0.0000, 0.0000, 0.1787), Nd at (0.0000, 0.0000, 0.4224) and I at (0.0000, 0.0000, 0.5891).

Entry from Alexandria: a relaxed PmNd2I6 crystal (GGA-PBE).

The volume comes out at 764.5 Å³/cell. The polymorph energy (0 for the lowest one) is 0 meV per atom. The density of states at the Fermi level is 0.6482 states/eV/atom. For the energy relative to the elements, uncorrected, the calculation gives -1291 meV per atom. The calculation puts the total energy at -70.407 eV per cell.

The space group is C2/m (No. 12) and the conventional cell measures 20.388, 4.225 and 9.572 Å, with angles of 90.00, 112.02 and 90.00 degrees. Symmetry generates all atoms from Pm at (0.000, 0.000, 0.000), Nd at (0.173, 0.500, 0.349), I at (0.002, 0.500, 0.247), I at (0.163, 0.000, 0.589) and I at (0.165, 0.000, 0.090).

Entry from Alexandria: a relaxed PmNdI2 crystal (GGA-PBE).

The volume comes out at 383.4 Å³/cell. The polymorph energy (0 for the lowest one) is 49 meV per atom. The density of states at the Fermi level is 0.6501 states/eV/atom. For the energy relative to the elements, uncorrected, the calculation gives -810 meV per atom. The calculation puts the total energy at -47.573 eV per cell.

The space group is R-3m (No. 166, hexagonal axes) and the conventional cell measures 3.8566, 3.8566 and 29.7650 Å, with angles of 90.00, 90.00 and 120.00 degrees. Symmetry generates all atoms from Pm at (0.0000, 0.0000, 0.0000), Nd at (0.0000, 0.0000, 0.5000) and I at (0.0000, 0.0000, 0.2505).

Entry from Alexandria: a relaxed PmNdRuI crystal (GGA-PBE).

The volume comes out at 241.8 Å³/cell. The density of states at the Fermi level is 0.5252 states/eV/atom. For the energy relative to the elements, uncorrected, the calculation gives -602 meV per atom. The calculation puts the total energy at -45.508 eV per cell.

The space group is Cm (No. 8) and the conventional cell measures 7.167, 4.124 and 8.527 Å, with angles of 90.00, 106.38 and 90.00 degrees. Symmetry generates all atoms from Pm at (0.000, 0.000, 0.000), Nd at (0.290, 0.500, 0.372), Ru at (0.394, 0.000, 0.184) and I at (0.063, 0.500, 0.690).

Entry from Alexandria: a relaxed PmNdSI crystal (GGA-PBE).

The volume comes out at 223.4 Å³/cell. The density of states at the Fermi level is 0.7600 states/eV/atom. For the energy relative to the elements, uncorrected, the calculation gives -1452 meV per atom. The calculation puts the total energy at -42.004 eV per cell.

The space group is Cm (No. 8) and the conventional cell measures 6.978, 4.031 and 8.273 Å, with angles of 90.00, 106.26 and 90.00 degrees. Symmetry generates all atoms from Pm at (0.000, 0.000, 0.000), Nd at (0.297, 0.500, 0.392), S at (0.397, 0.000, 0.191) and I at (0.231, 0.000, 0.695).

Entry from Alexandria: a relaxed PmNdSeI crystal (GGA-PBE).

The volume comes out at 425.7 Å³/cell. The polymorph energy (0 for the lowest one) is 149 meV per atom. The density of states at the Fermi level is 0.7034 states/eV/atom. For the energy relative to the elements, uncorrected, the calculation gives -1188 meV per atom. The calculation puts the total energy at -77.224 eV per cell.

The space group is F-43m (No. 216) and the conventional cell measures 7.523, 7.523 and 7.523 Å, with angles of 90.00, 90.00 and 90.00 degrees. Symmetry generates all atoms from Pm at (0.000, 0.000, 0.000), Nd at (0.000, 0.000, 0.500), Se at (0.250, 0.250, 0.250) and I at (0.250, 0.250, 0.750).

Entry from Alexandria: a relaxed PmNdSeI crystal (GGA-PBE).

The volume comes out at 235.6 Å³/cell. The polymorph energy (0 for the lowest one) is 0 meV per atom. The density of states at the Fermi level is 0.8209 states/eV/atom. For the energy relative to the elements, uncorrected, the calculation gives -1338 meV per atom. The calculation puts the total energy at -39.808 eV per cell.

The space group is Cm (No. 8) and the conventional cell measures 7.044, 4.077 and 8.531 Å, with angles of 90.00, 105.89 and 90.00 degrees. Symmetry generates all atoms from Pm at (0.000, 0.000, 0.000), Nd at (0.307, 0.500, 0.420), Se at (0.402, 0.000, 0.205) and I at (0.237, 0.000, 0.711).

Entry from Alexandria: a relaxed PmNdTlI crystal (GGA-PBE).

The volume comes out at 486.2 Å³/cell. The density of states at the Fermi level is 0.6534 states/eV/atom. For the energy relative to the elements, uncorrected, the calculation gives -486 meV per atom. The calculation puts the total energy at -61.510 eV per cell.

The space group is F-43m (No. 216) and the conventional cell measures 7.863, 7.863 and 7.863 Å, with angles of 90.00, 90.00 and 90.00 degrees. Symmetry generates all atoms from Pm at (0.000, 0.000, 0.000), Nd at (0.000, 0.000, 0.500), Tl at (0.250, 0.250, 0.750) and I at (0.250, 0.250, 0.250).

Entry from Alexandria: a relaxed Pr2NdI crystal (GGA-PBE).

The volume comes out at 426.9 Å³/cell. The polymorph energy (0 for the lowest one) is 0 meV per atom. The density of states at the Fermi level is 1.4242 states/eV/atom. For the energy relative to the elements, uncorrected, the calculation gives -393 meV per atom. The calculation puts the total energy at -52.342 eV per cell.

The space group is R3m (No. 160, hexagonal axes) and the conventional cell measures 3.8740, 3.8740 and 32.8493 Å, with angles of 90.00, 90.00 and 120.00 degrees. Symmetry generates all atoms from Pr at (0.0000, 0.0000, 0.0000), Pr at (0.0000, 0.0000, 0.1781), Nd at (0.0000, 0.0000, 0.7560) and I at (0.0000, 0.0000, 0.5893).

Entry from Alexandria: a relaxed PrNd2I8 crystal (GGA-PBE).

The volume comes out at 1324.5 Å³/cell. The density of states at the Fermi level is 0.0871 states/eV/atom. For the energy relative to the elements, uncorrected, the calculation gives -1250 meV per atom. The calculation puts the total energy at -80.934 eV per cell.

The space group is C2/m (No. 12) and the conventional cell measures 20.311, 8.823 and 7.459 Å, with angles of 90.00, 97.73 and 90.00 degrees. Symmetry generates all atoms from Pr at (0.000, 0.000, 0.000), Nd at (0.145, 0.000, 0.428), I at (0.059, 0.262, 0.269), I at (0.139, 0.000, 0.837) and I at (0.216, 0.500, 0.641).